No. 1
CsIn3Ge3: optimized geometry, GGA-PBE.

Unit cell a=7.709 b=7.709 c=7.709 alpha=90.00 beta=90.00 gamma=90.00
Space group Pm-3n (No. 223)
Symmetry-distinct sites (fractional):
Cs 0.000 0.000 0.000 [2 per cell]
In 0.000 0.250 0.500 [6 per cell]
Ge 0.000 0.500 0.250 [6 per cell]

## Properties
- E_form: 0.00 eV/atom

=====

No. 2
Fe2CoIr: optimized geometry, GGA-PBE.

Unit cell a=2.881 b=4.225 c=8.280 alpha=90.00 beta=90.00 gamma=90.00
Space group Immm (No. 71)
Symmetry-distinct sites (fractional):
Fe 0.000 0.000 0.242 [4 per cell]
Co 0.000 0.500 0.500 [2 per cell]
Ir 0.000 0.500 0.000 [2 per cell]

## Properties
- E_form: 0.02 eV/atom

=====

No. 3
Ca2CdSi3Pd4: optimized geometry, GGA-PBE.

Unit cell a=4.340 b=4.340 c=10.051 alpha=90.00 beta=90.00 gamma=90.00
Space group P-4m2 (No. 115)
Symmetry-distinct sites (fractional):
Ca 0.000 0.500 0.245 [2 per cell]
Cd 0.000 0.000 0.500 [1 per cell]
Si 0.000 0.500 0.885 [2 per cell]
Si 0.500 0.500 0.500 [1 per cell]
Pd 0.000 0.000 0.000 [1 per cell]
Pd 0.000 0.500 0.651 [2 per cell]
Pd 0.500 0.500 0.000 [1 per cell]

## Properties
- Formation energy (no corrections): -6.710 eV per formula unit